Record 1
## NaTcAs2Rh (PBE)

Data for an optimized crystal structure of NaTcAs2Rh.

Output
- crystal system = tetragonal
- total magnetic moment (μB/f.u.) = 0.0
- theoretical density (Mg/m³) = 6.633
- ΔH_f (0 K) (eV per atom) = -0.4086

Unit cell a=4.201 b=4.201 c=10.604 alpha=90.00 beta=90.00 gamma=90.00
Element x y z (fractional)
Na  0.000  0.000  0.000
Na  0.500  0.500  0.500
Tc  0.000  0.500  0.250
Tc  0.500  0.000  0.750
As  0.000  0.000  0.369
As  0.000  0.000  0.631
As  0.500  0.500  0.131
As  0.500  0.500  0.869
Rh  0.000  0.500  0.750
Rh  0.500  0.000  0.250



Record 2
## InHg2CBr (PBE)

Data for an optimized crystal structure of InHg2CBr.

Output
- crystal system = tetragonal
- uncorrected formation energy (meV/atom) = 917
- total magnetic moment (μB/f.u.) = 1.6
- theoretical density (Mg/m³) = 6.958
- offset from the most stable computed form (eV per formula unit) = 1.635

Unit cell a=5.891 b=5.891 c=4.181 alpha=90.00 beta=90.00 gamma=90.00
Element x y z (fractional)
In  0.000  0.000  0.000
Hg  0.000  0.500  0.000
Hg  0.500  0.000  0.000
C  0.000  0.000  0.500
Br  0.500  0.500  0.500



Record 3
## NdTlSnS3 (PBE)

Data for an optimized crystal structure of NdTlSnS3.

Output
- crystal system = monoclinic
- uncorrected formation energy (meV/atom) = -1082
- total magnetic moment (μB/f.u.) = 0.0
- theoretical density (Mg/m³) = 4.577

Unit cell a=7.897 b=4.102 c=12.854 alpha=90.00 beta=100.91 gamma=90.00
Element x y z (fractional)
Nd  0.116  0.250  0.136
Nd  0.884  0.750  0.864
Tl  0.367  0.250  0.856
Tl  0.633  0.750  0.144
Sn  0.316  0.750  0.386
Sn  0.684  0.250  0.614
S  0.018  0.750  0.264
S  0.215  0.750  0.004
S  0.433  0.250  0.285
S  0.567  0.750  0.715
S  0.785  0.250  0.996
S  0.982  0.250  0.736



Record 4
## LaMg2Al (PBE)

Data for an optimized crystal structure of LaMg2Al.

Output
- crystal system = monoclinic
- total magnetic moment (μB/f.u.) = 0.0
- theoretical density (Mg/m³) = 3.498
- ΔH_f (0 K) (eV per atom) = -0.0017

Unit cell a=6.431 b=11.377 c=3.056 alpha=90.00 beta=114.40 gamma=90.00
Element x y z (fractional)
La  0.000  0.000  0.000
La  0.500  0.500  0.000
Mg  0.250  0.250  0.500
Mg  0.250  0.750  0.500
Mg  0.750  0.250  0.500
Mg  0.750  0.750  0.500
Al  0.000  0.500  0.000
Al  0.500  0.000  0.000



Record 5
## Rb2YGeI6 (PBE)

Data for an optimized crystal structure of Rb2YGeI6.

Output
- crystal system = tetragonal
- uncorrected formation energy (meV/atom) = -1022
- total magnetic moment (μB/f.u.) = 1.0
- theoretical density (Mg/m³) = 3.742

Unit cell a=9.022 b=9.022 c=9.022 alpha=123.88 beta=123.88 gamma=83.41
Element x y z (fractional)
Rb  0.250  0.750  0.500
Rb  0.750  0.250  0.500
Y  0.000  0.000  0.000
Ge  0.500  0.500  0.000
I  0.225  0.225  0.000
I  0.252  0.252  0.504
I  0.252  0.748  0.000
I  0.748  0.252  0.000
I  0.748  0.748  0.496
I  0.775  0.775  0.000



Record 6
## ZnMoI2 (PBE)

Data for an optimized crystal structure of ZnMoI2.

Output
- crystal system = cubic
- uncorrected formation energy (meV/atom) = 809
- total magnetic moment (μB/f.u.) = 0.0
- theoretical density (Mg/m³) = 7.875
- offset from the most stable computed form (eV per formula unit) = 0.387

Unit cell a=7.048 b=7.048 c=7.048 alpha=90.00 beta=90.00 gamma=90.00
Element x y z (fractional)
Zn  0.000  0.000  0.000
Zn  0.000  0.500  0.500
Zn  0.500  0.000  0.500
Zn  0.500  0.500  0.000
Mo  0.000  0.000  0.500
Mo  0.000  0.500  0.000
Mo  0.500  0.000  0.000
Mo  0.500  0.500  0.500
I  0.250  0.250  0.250
I  0.250  0.250  0.750
I  0.250  0.750  0.250
I  0.250  0.750  0.750
I  0.750  0.250  0.250
I  0.750  0.250  0.750
I  0.750  0.750  0.250
I  0.750  0.750  0.750



Record 7
## Ce3PmY2Se6 (PBE)

Data for an optimized crystal structure of Ce3PmY2Se6.

Output
- crystal system = monoclinic
- uncorrected formation energy (meV/atom) = -1815
- total magnetic moment (μB/f.u.) = 3.0
- theoretical density (Mg/m³) = 6.595

Unit cell a=7.186 b=7.186 c=7.262 alpha=99.50 beta=99.50 gamma=120.04
Element x y z (fractional)
Ce  0.000  0.000  0.000
Ce  0.336  0.664  0.000
Ce  0.664  0.336  0.000
Pm  0.500  0.500  0.500
Y  0.167  0.833  0.500
Y  0.833  0.167  0.500
Se  0.080  0.419  0.257
Se  0.241  0.241  0.740
Se  0.419  0.080  0.257
Se  0.581  0.920  0.743
Se  0.759  0.759  0.260
Se  0.920  0.581  0.743



Record 8
## LiReSi2 (PBE)

Data for an optimized crystal structure of LiReSi2.

Output
- crystal system = orthorhombic
- uncorrected formation energy (meV/atom) = 117
- total magnetic moment (μB/f.u.) = 0.0
- theoretical density (Mg/m³) = 8.053
- offset from the most stable computed form (eV per formula unit) = 1.061

Unit cell a=3.378 b=3.786 c=4.019 alpha=90.00 beta=90.00 gamma=90.00
Element x y z (fractional)
Li  0.000  0.000  0.000
Re  0.500  0.000  0.500
Si  0.000  0.500  0.500
Si  0.500  0.500  0.000



Record 9
## BaCa4Cu (PBE)

Data for an optimized crystal structure of BaCa4Cu.

Output
- crystal system = cubic
- total magnetic moment (μB/f.u.) = 0.0
- theoretical density (Mg/m³) = 2.310
- ΔH_f (0 K) (eV per atom) = 0.4086

Unit cell a=7.161 b=7.161 c=7.161 alpha=60.00 beta=60.00 gamma=60.00
Element x y z (fractional)
Ba  0.000  0.000  0.000
Ca  0.125  0.625  0.625
Ca  0.625  0.125  0.625
Ca  0.625  0.625  0.125
Ca  0.625  0.625  0.625
Cu  0.250  0.250  0.250



Record 10
## Th2MgSn (PBE)

Data for an optimized crystal structure of Th2MgSn.

Output
- crystal system = orthorhombic
- total magnetic moment (μB/f.u.) = 0.0
- theoretical density (Mg/m³) = 8.964
- ΔH_f (0 K) (eV per atom) = -0.2749

Unit cell a=6.874 b=9.307 c=7.031 alpha=90.00 beta=90.00 gamma=90.00
Element x y z (fractional)
Th  0.250  0.017  0.250
Th  0.250  0.483  0.250
Th  0.250  0.517  0.750
Th  0.250  0.983  0.750
Th  0.750  0.017  0.250
Th  0.750  0.483  0.250
Th  0.750  0.517  0.750
Th  0.750  0.983  0.750
Mg  0.000  0.250  0.531
Mg  0.000  0.750  0.469
Mg  0.500  0.250  0.969
Mg  0.500  0.750  0.031
Sn  0.000  0.250  0.971
Sn  0.000  0.750  0.029
Sn  0.500  0.250  0.529
Sn  0.500  0.750  0.471



Record 11
## Ta3Tc (PBE)

Data for an optimized crystal structure of Ta3Tc.

Output
- crystal system = orthorhombic
- total magnetic moment (μB/f.u.) = 0.0
- theoretical density (Mg/m³) = 15.167
- ΔH_f (0 K) (eV per atom) = 0.0937
- offset from the most stable computed form (eV per formula unit) = 1.487

Unit cell a=4.840 b=5.339 c=5.430 alpha=90.00 beta=90.00 gamma=90.00
Element x y z (fractional)
Ta  0.250  0.002  0.141
Ta  0.250  0.498  0.141
Ta  0.250  0.750  0.629
Ta  0.750  0.250  0.371
Ta  0.750  0.502  0.859
Ta  0.750  0.998  0.859
Tc  0.250  0.250  0.649
Tc  0.750  0.750  0.351



Record 12
## ErAl4Ag6 (PBE)

Data for an optimized crystal structure of ErAl4Ag6.

Output
- crystal system = tetragonal
- total magnetic moment (μB/f.u.) = 0.0
- theoretical density (Mg/m³) = 6.966
- ΔH_f (0 K) (eV per atom) = -0.0359
- offset from the most stable computed form (eV per formula unit) = 1.234

Unit cell a=6.826 b=6.826 c=6.826 alpha=121.40 beta=121.40 gamma=87.60
Element x y z (fractional)
Er  0.000  0.000  0.000
Al  0.255  0.255  0.677
Al  0.422  0.745  0.000
Al  0.578  0.578  0.323
Al  0.745  0.422  0.000
Ag  0.000  0.500  0.500
Ag  0.100  0.511  0.000
Ag  0.489  0.489  0.589
Ag  0.500  0.000  0.500
Ag  0.511  0.100  0.000
Ag  0.900  0.900  0.411